(1)
# Rb2LiNdF6

Rb2LiNdF6 after structural relaxation (PBE, the Alexandria database).

Cell lengths 8.8460, 8.8460, 8.8460 Å; angles 90.00, 90.00, 90.00 degrees
With the nearest neighbours (Å) after each atom.
Space group Fm-3m (No. 225)
Inequivalent atoms, fractional coordinates:
Rb 0.2500 0.2500 0.2500 x8  12 F 3.13
Li 0.0000 0.0000 0.0000 x4  6 F 2.14
Nd 0.0000 0.0000 0.5000 x4  6 F 2.28
F 0.0000 0.0000 0.2421 x24  1 Li 2.14, 1 Nd 2.28

Output
* magnetic moment: 0.00 μB/f.u.
* theoretical density: 4.18 Mg/m³
* raw total energy: -210.52 eV/cell
* uncorrected formation energy: -3.28 eV per atom

---

(2)
# KMn2Ni

KMn2Ni after structural relaxation (PBE, the Alexandria database).

Cell lengths 4.8715, 4.8715, 3.0239 Å; angles 90.00, 90.00, 90.00 degrees
With the nearest neighbours (Å) after each atom.
Space group P4/mmm (No. 123)
Inequivalent atoms, fractional coordinates:
K 0.0000 0.0000 0.0000 x1  8 Mn 2.87, 2 K 3.02
Mn 0.0000 0.5000 0.5000 x2  4 K 2.87, 4 Ni 2.87, 2 Mn 3.02
Ni 0.5000 0.5000 0.0000 x1  8 Mn 2.87, 2 Ni 3.02

Output
* magnetic moment: 8.47 μB/f.u.
* theoretical density: 4.81 Mg/m³
* raw total energy: -20.62 eV/cell
* formation energy: 1150.7 meV/atom

---

(3)
# YOs4Au

YOs4Au after structural relaxation (PBE, the Alexandria database).

Cell lengths 7.4671, 7.4671, 7.4671 Å; angles 90.00, 90.00, 90.00 degrees
With the nearest neighbours (Å) after each atom.
Space group F-43m (No. 216)
Inequivalent atoms, fractional coordinates:
Y 0.0000 0.0000 0.0000 x4  12 Os 3.10, 4 Au 3.23
Os 0.1245 0.1245 0.3755 x16  6 Os 2.63-2.65
Au 0.2500 0.2500 0.7500 x4  12 Os 3.09, 4 Y 3.23

Output
* magnetic moment: 0.00 μB/f.u.
* theoretical density: 16.70 Mg/m³
* raw total energy: -212.61 eV/cell
* formation energy: 251.3 meV/atom

---

(4)
# Li2DyCd

Li2DyCd after structural relaxation (PBE, the Alexandria database).

Cell lengths 3.5264, 3.5264, 7.0207 Å; angles 90.00, 90.00, 90.00 degrees
With the nearest neighbours (Å) after each atom.
Space group P4/mmm (No. 123)
Inequivalent atoms, fractional coordinates:
Li 0.0000 0.0000 0.2017 x2  1 Li 2.83, 4 Cd 2.87
Dy 0.5000 0.5000 0.5000 x1  8 Li 3.26, 2 Cd 3.51, 4 Dy 3.53
Cd 0.5000 0.5000 0.0000 x1  8 Li 2.87

Output
* magnetic moment: 0.01 μB/f.u.
* theoretical density: 5.49 Mg/m³
* raw total energy: -9.52 eV/cell
* formation energy: -42.8 meV/atom

---

(5)
# Al3As

Al3As after structural relaxation (PBE, the Alexandria database).

Cell lengths 7.2412, 6.7158, 6.1058 Å; angles 90.00, 90.00, 90.00 degrees
With the nearest neighbours (Å) after each atom.
Space group Pnma (No. 62)
Inequivalent atoms, fractional coordinates:
Al 0.0237 0.2500 0.0393 x4  1 As 2.53, 4 Al 2.74
Al 0.2259 0.0281 0.3294 x8  3 As 2.60-2.90, 3 Al 2.74-2.90
As 0.0208 0.2500 0.6247 x4  5 Al 2.53-2.77

Output
* magnetic moment: 0.00 μB/f.u.
* theoretical density: 3.49 Mg/m³
* raw total energy: -63.59 eV/cell
* formation energy: -4.9 meV/atom

---

(6)
# TiTc2F

TiTc2F after structural relaxation (PBE, the Alexandria database).

Cell lengths 7.3131, 7.3131, 4.3638 Å; angles 90.00, 90.00, 90.00 degrees
With the nearest neighbours (Å) after each atom.
Space group I-42d (No. 122)
Inequivalent atoms, fractional coordinates:
Ti 0.0000 0.0000 0.0000 x4  2 F 2.18
Tc 0.1753 0.2500 0.6250 x8  2 F 2.30, 2 Tc 2.44
F 0.0000 0.0000 0.5000 x4  2 Ti 2.18, 4 Tc 2.30

Output
* magnetic moment: 0.00 μB/f.u.
* theoretical density: 7.48 Mg/m³
* raw total energy: -121.23 eV/cell
* uncorrected formation energy: 0.05 eV per atom

---

(7)
# LaTlPbCl6

LaTlPbCl6 after structural relaxation (PBE, the Alexandria database).

Cell lengths 7.5289, 7.5289, 13.4467 Å; angles 90.00, 90.00, 120.00 degrees
With the nearest neighbours (Å) after each atom.
Space group P-31c (No. 163)
Inequivalent atoms, fractional coordinates:
La 0.3333 0.6667 0.2500 x2  6 Cl 2.81
Tl 0.0000 0.0000 0.0000 x2  6 Cl 3.28
Pb 0.3333 0.6667 0.7500 x2  6 Cl 2.92
Cl 0.0116 0.3692 0.1345 x12  1 La 2.81, 1 Pb 2.92

Output
* magnetic moment: 0.00 μB/f.u.
* theoretical density: 3.84 Mg/m³
* raw total energy: -74.49 eV/cell
* uncorrected formation energy: -1.68 eV per atom

---

(8)
# MgReIO2

MgReIO2 after structural relaxation (PBE, the Alexandria database).

Cell lengths 3.9721, 3.9721, 5.8726 Å; angles 90.00, 90.00, 90.00 degrees
With the nearest neighbours (Å) after each atom.
Space group P4/mmm (No. 123)
Inequivalent atoms, fractional coordinates:
Mg 0.0000 0.0000 0.0000 x1  4 O 1.99
Re 0.5000 0.5000 0.5000 x1  4 I 2.81
I 0.0000 0.0000 0.5000 x1  4 Re 2.81, 2 Mg 2.94
O 0.0000 0.5000 0.0000 x2  2 Mg 1.99

Output
* magnetic moment: 4.19 μB/f.u.
* theoretical density: 6.62 Mg/m³
* raw total energy: -23.26 eV/cell
* uncorrected formation energy: 0.45 eV per atom

---

(9)
# CaIO2F

CaIO2F after structural relaxation (PBE, the Alexandria database).

Cell lengths 4.2154, 4.2154, 7.1031 Å; angles 90.00, 90.00, 90.00 degrees
With the nearest neighbours (Å) after each atom.
Space group P4/mmm (No. 123)
Inequivalent atoms, fractional coordinates:
Ca 0.0000 0.0000 0.0000 x1  4 O 2.11
I 0.0000 0.0000 0.5000 x1  4 F 2.98
O 0.0000 0.5000 0.0000 x2  2 Ca 2.11
F 0.5000 0.5000 0.5000 x1  4 I 2.98

Output
* magnetic moment: 0.72 μB/f.u.
* theoretical density: 2.87 Mg/m³
* raw total energy: -17.11 eV/cell
* uncorrected formation energy: -0.35 eV per atom

---

(10)
# PI2Br5

PI2Br5 after structural relaxation (PBE, the Alexandria database).

Cell lengths 6.1132, 6.1133, 11.0752 Å; angles 99.93, 100.29, 109.83 degrees
With the nearest neighbours (Å) after each atom.
Space group P1 (No. 1)
Inequivalent atoms, fractional coordinates:
P 0.0000 0.0000 0.0000 x1  4 Br 2.22-2.32
I 0.2486 0.7504 0.5070 x1  2 Br 3.06
I 0.7485 0.2507 0.5070 x1  2 Br 3.06
Br 0.2375 0.8880 0.1306 x1  1 P 2.22
Br 0.2438 0.2454 0.8989 x1  1 P 2.32
Br 0.6573 0.6589 0.8989 x1  1 P 2.32
Br 0.7482 0.7502 0.5060 x1  4 I 3.06
Br 0.8910 0.2359 0.1320 x1  1 P 2.22

Output
* magnetic moment: 0.00 μB/f.u.
* theoretical density: 3.06 Mg/m³
* raw total energy: -17.55 eV/cell
* uncorrected formation energy: -0.08 eV per atom

---

(11)
# MnCrHPt2

MnCrHPt2 after structural relaxation (PBE, the Alexandria database).

Cell lengths 4.0635, 4.0635, 3.8321 Å; angles 90.00, 90.00, 90.00 degrees
With the nearest neighbours (Å) after each atom.
Space group P4/mmm (No. 123)
Inequivalent atoms, fractional coordinates:
Mn 0.0000 0.0000 0.0000 x1  8 Pt 2.79, 4 Cr 2.87
Cr 0.5000 0.5000 0.0000 x1  2 H 1.92
H 0.5000 0.5000 0.5000 x1  2 Cr 1.92, 4 Pt 2.03
Pt 0.0000 0.5000 0.5000 x2  2 H 2.03

Output
* magnetic moment: 7.93 μB/f.u.
* theoretical density: 13.07 Mg/m³
* raw total energy: -34.35 eV/cell

---

(12)
# Pr4AgPtAu2

Pr4AgPtAu2 after structural relaxation (PBE, the Alexandria database).

Cell lengths 5.2729, 5.2729, 25.7490 Å; angles 90.00, 90.00, 120.00 degrees
With the nearest neighbours (Å) after each atom.
Space group R-3m (No. 166, hexagonal axes)
Inequivalent atoms, fractional coordinates:
Pr 0.0000 0.0000 0.1194 x6  1 Pt 3.07, 4 Au 3.12-3.14, 3 Ag 3.28
Pr 0.0000 0.0000 0.3700 x6  3 Pt 3.19, 4 Au 3.31-3.36, 1 Ag 3.35
Ag 0.0000 0.0000 0.5000 x3  8 Pr 3.28-3.35, 6 Au 3.60
Pt 0.0000 0.0000 0.0000 x3  8 Pr 3.07-3.19
Au 0.0000 0.0000 0.2413 x6  8 Pr 3.12-3.36

Output
* magnetic moment: 0.00 μB/f.u.
* theoretical density: 10.13 Mg/m³
* raw total energy: -120.51 eV/cell
* formation energy: -700.5 meV/atom

---

(13)
# FeSeCl3

FeSeCl3 after structural relaxation (PBE, the Alexandria database).

Cell lengths 4.5839, 4.5839, 4.5839 Å; angles 90.00, 90.00, 90.00 degrees
With the nearest neighbours (Å) after each atom.
Space group Pm-3m (No. 221)
Inequivalent atoms, fractional coordinates:
Fe 0.0000 0.0000 0.0000 x1  6 Cl 2.29
Se 0.5000 0.5000 0.5000 x1  12 Cl 3.24
Cl 0.0000 0.0000 0.5000 x3  2 Fe 2.29

Output
* magnetic moment: 0.00 μB/f.u.
* theoretical density: 4.16 Mg/m³
* raw total energy: -16.33 eV/cell
* uncorrected formation energy: 0.23 eV per atom

---

(14)
# Er6NiHg2

Er6NiHg2 after structural relaxation (PBE, the Alexandria database).

Cell lengths 6.8432, 7.1956, 12.1386 Å; angles 90.00, 124.23, 90.00 degrees
With the nearest neighbours (Å) after each atom.
Space group P2_1/c (No. 14)
Inequivalent atoms, fractional coordinates:
Er 0.1400 0.1998 0.4537 x4  1 Ni 2.63
Er 0.2535 0.6951 0.4480 x4  1 Ni 2.62
Er 0.3559 0.0091 0.2471 x4  1 Ni 2.64
Ni 0.5000 0.0000 0.5000 x2  6 Er 2.62-2.64
Hg 0.2116 0.0841 0.7483 x4  6 Er 3.00-3.20

Output
* magnetic moment: 0.00 μB/f.u.
* theoretical density: 9.83 Mg/m³
* raw total energy: -72.14 eV/cell
* formation energy: -256.2 meV/atom

---

(15)
# CsSiMoN

CsSiMoN after structural relaxation (PBE, the Alexandria database).

Cell lengths 3.9500, 3.3097, 6.9086 Å; angles 90.00, 99.63, 90.00 degrees
With the nearest neighbours (Å) after each atom.
Space group Pm (No. 6)
Inequivalent atoms, fractional coordinates:
Cs 0.0000 0.0000 0.0000 x1  2 N 3.15, 2 Cs 3.31
Si 0.0813 0.5000 0.5316 x1  1 N 2.00
Mo 0.5841 0.0000 0.4554 x1  2 N 1.99
N 0.6796 0.5000 0.3135 x1  2 Mo 1.99, 1 Si 2.00

Output
* magnetic moment: 0.58 μB/f.u.
* theoretical density: 5.05 Mg/m³
* raw total energy: -24.59 eV/cell
* uncorrected formation energy: 0.21 eV per atom

---

(16)
# Sr2AcAu3

Sr2AcAu3 after structural relaxation (PBE, the Alexandria database).

Cell lengths 3.8612, 3.8612, 11.7185 Å; angles 90.00, 90.00, 90.00 degrees
With the nearest neighbours (Å) after each atom.
Space group P4/mmm (No. 123)
Inequivalent atoms, fractional coordinates:
Sr 0.0000 0.0000 0.1642 x2  8 Au 3.34-3.43
Ac 0.0000 0.0000 0.5000 x1  8 Au 3.31
Au 0.5000 0.5000 0.0000 x1  8 Sr 3.34
Au 0.5000 0.5000 0.3407 x2  4 Ac 3.31, 4 Sr 3.43

Output
* magnetic moment: 0.00 μB/f.u.
* theoretical density: 9.44 Mg/m³
* raw total energy: -21.80 eV/cell
* formation energy: -749.3 meV/atom

---

(17)
# Sm8Ho2Sc

Sm8Ho2Sc after structural relaxation (PBE, the Alexandria database).

Cell lengths 16.5368, 6.7262, 6.6488 Å; angles 90.00, 101.74, 90.00 degrees
With the nearest neighbours (Å) after each atom.
Space group C2/m (No. 12)
Inequivalent atoms, fractional coordinates:
Sm 0.0819 0.2411 0.3893 x8  1 Sc 3.18, 5 Sm 3.24-3.48, 1 Ho 3.45
Sm 0.0959 0.0000 0.9158 x4  6 Sm 3.35-3.60, 1 Ho 3.68
Sm 0.2458 0.5000 0.3294 x4  5 Sm 3.31-3.48, 2 Ho 3.39-3.52
Ho 0.1872 0.5000 0.8096 x4  7 Sm 3.39-3.72, 1 Sc 3.57
Sc 0.0000 0.5000 0.0000 x2  4 Sm 3.18

Output
* magnetic moment: 0.00 μB/f.u.
* theoretical density: 7.24 Mg/m³
* raw total energy: -102.58 eV/cell
* formation energy: 177.4 meV/atom

---

(18)
# Ca2Mg16Cd

Ca2Mg16Cd after structural relaxation (PBE, the Alexandria database).

Cell lengths 10.3695, 10.3695, 15.2784 Å; angles 90.00, 90.00, 120.00 degrees
With the nearest neighbours (Å) after each atom.
Space group R3m (No. 160, hexagonal axes)
Inequivalent atoms, fractional coordinates:
Ca 0.0000 0.0000 0.9998 x3  19 Mg 3.62-4.05
Ca 0.0000 0.0000 0.3333 x3  1 Cd 3.48, 12 Mg 3.62-3.84
Mg 0.0000 0.0000 0.7594 x3  1 Cd 3.03, 6 Mg 3.22-3.31
Mg 0.0000 0.3036 0.6672 x18  8 Mg 3.00-3.18
Mg 0.0016 0.5008 0.1670 x9  9 Mg 3.00-3.22, 1 Cd 3.12
Mg 0.0043 0.5021 0.8213 x9  8 Mg 2.98-3.17, 1 Cd 3.23
Mg 0.1683 0.3367 0.8468 x9  9 Mg 2.98-3.31
Cd 0.0000 0.0000 0.5609 x3  7 Mg 3.03-3.23

Output
* magnetic moment: 0.00 μB/f.u.
* theoretical density: 2.04 Mg/m³
* raw total energy: -93.69 eV/cell
* formation energy: -42.0 meV/atom

---

(19)
# Al2SiSe

Al2SiSe after structural relaxation (PBE, the Alexandria database).

Cell lengths 3.2542, 4.4613, 4.8925 Å; angles 90.00, 90.00, 90.00 degrees
With the nearest neighbours (Å) after each atom.
Space group Pmmm (No. 47)
Inequivalent atoms, fractional coordinates:
Al 0.0000 0.0000 0.0000 x1  4 Se 2.76, 4 Al 2.94
Al 0.5000 0.0000 0.5000 x1  4 Si 2.76, 4 Al 2.94
Si 0.0000 0.5000 0.5000 x1  4 Al 2.76, 4 Se 2.94
Se 0.5000 0.5000 0.0000 x1  4 Al 2.76, 4 Si 2.94

Output
* magnetic moment: 0.00 μB/f.u.
* theoretical density: 3.76 Mg/m³
* raw total energy: -15.47 eV/cell
* uncorrected formation energy: 0.23 eV per atom

---

(20)
# Ce2Pu2As3

Ce2Pu2As3 after structural relaxation (PBE, the Alexandria database).

Cell lengths 13.4941, 4.1888, 7.0072 Å; angles 90.00, 98.61, 90.00 degrees
With the nearest neighbours (Å) after each atom.
Space group C2/m (No. 12)
Inequivalent atoms, fractional coordinates:
Ce 0.1264 0.0000 0.3650 x4  5 As 2.93-2.97
Pu 0.1170 0.5000 0.8860 x4  4 As 2.90-2.93
As 0.0000 0.5000 0.5000 x2  2 Pu 2.92, 4 Ce 2.95
As 0.2395 0.0000 0.7563 x4  3 Pu 2.90-2.93, 3 Ce 2.93-2.97

Output
* magnetic moment: 14.34 μB/f.u.
* theoretical density: 8.42 Mg/m³
* raw total energy: -121.90 eV/cell
* formation energy: -924.5 meV/atom

---

(21)
# YCr2Pt

YCr2Pt after structural relaxation (PBE, the Alexandria database).

Cell lengths 5.7484, 9.7251, 3.0336 Å; angles 90.00, 118.84, 90.00 degrees
With the nearest neighbours (Å) after each atom.
Space group C2/m (No. 12)
Inequivalent atoms, fractional coordinates:
Y 0.0000 0.0000 0.0000 x2  4 Cr 2.86, 4 Pt 2.87-3.01, 2 Y 3.03
Cr 0.2500 0.2500 0.5000 x4  2 Y 2.86, 2 Pt 2.86, 6 Cr 2.87-3.03
Pt 0.0000 0.5000 0.0000 x2  4 Cr 2.86, 4 Y 2.87-3.01, 2 Pt 3.03

Output
* magnetic moment: 7.21 μB/f.u.
* theoretical density: 8.67 Mg/m³
* raw total energy: -61.11 eV/cell
* formation energy: 299.6 meV/atom

---

(22)
# Tl5AgBr4Cl2

Tl5AgBr4Cl2 after structural relaxation (PBE, the Alexandria database).

Cell lengths 9.1905, 12.7191, 8.0681 Å; angles 90.00, 90.00, 90.00 degrees
With the nearest neighbours (Å) after each atom.
Space group Amm2 (No. 38)
Inequivalent atoms, fractional coordinates:
Tl 0.0000 0.0000 0.0000 x2  2 Cl 3.14, 2 Br 3.20
Tl 0.2505 0.1963 0.5070 x8  2 Cl 3.15-3.23, 3 Br 3.25-3.42
Ag 0.5000 0.0000 0.0330 x2  4 Br 2.73-2.74
Br 0.2703 0.0000 0.2492 x4  1 Ag 2.74
Br 0.5000 0.1659 0.8181 x4  1 Ag 2.73
Cl 0.0000 0.2067 0.7879 x4  5 Tl 3.14-3.23

Output
* magnetic moment: 0.00 μB/f.u.
* theoretical density: 5.35 Mg/m³
* raw total energy: -69.18 eV/cell
* uncorrected formation energy: -0.79 eV per atom

---

(23)
# Ag2SnF5

Ag2SnF5 after structural relaxation (PBE, the Alexandria database).

Cell lengths 6.7010, 6.7010, 5.9491 Å; angles 90.00, 90.00, 90.00 degrees
With the nearest neighbours (Å) after each atom.
Space group I4mm (No. 107)
Inequivalent atoms, fractional coordinates:
Ag 0.0000 0.5000 0.0000 x4  4 F 2.51
Sn 0.0000 0.0000 0.2770 x2  5 F 1.96-2.05
F 0.0000 0.0000 0.9472 x2  1 Sn 1.96
F 0.2063 0.2063 0.3783 x8  1 Sn 2.05

Output
* magnetic moment: 0.00 μB/f.u.
* theoretical density: 5.34 Mg/m³
* raw total energy: -62.65 eV/cell
* uncorrected formation energy: -1.53 eV per atom

---

(24)
# Ho4N3O

Ho4N3O after structural relaxation (PBE, the Alexandria database).

Cell lengths 6.8647, 9.6916, 3.4308 Å; angles 90.00, 90.00, 90.00 degrees
With the nearest neighbours (Å) after each atom.
Space group Cmmm (No. 65)
Inequivalent atoms, fractional coordinates:
Ho 0.0000 0.2476 0.0000 x4  5 N 2.40-2.43, 1 O 2.45
Ho 0.2440 0.0000 0.5000 x4  4 N 2.40-2.42, 2 O 2.46
N 0.0000 0.0000 0.0000 x2  6 Ho 2.40
N 0.2500 0.2500 0.5000 x4  6 Ho 2.42-2.43
O 0.0000 0.5000 0.0000 x2  6 Ho 2.45-2.46

Output
* magnetic moment: 0.00 μB/f.u.
* theoretical density: 10.44 Mg/m³
* raw total energy: -130.19 eV/cell
* uncorrected formation energy: -2.11 eV per atom